<a>
Density functional theory data (PBEsol) for a geometry-optimized BaTlMo2 structure.

```
BaTlMo2
1.0
5.013 0.000 0.000
2.506 4.341 0.000
2.506 1.447 4.093
Mo Tl Ba
2 1 1
Cartesian
7.519 4.341 3.070
0.000 0.000 0.000
2.506 1.447 1.023
5.013 2.894 2.046
```

Calculated values
DOS(E_F)   3.35 states/eV/cell

=====

<b>
Density functional theory data (PBEsol) for a geometry-optimized BaTlMo2 structure.

```
BaTlMo2
1.0
-3.517 1.217 0.105
-1.221 -3.512 -0.185
0.074 -0.407 7.227
Mo Ba Tl
2 1 1
Cartesian
0.063 -0.345 6.127
0.011 -0.062 1.100
-2.332 -1.351 3.573
-2.369 -1.147 -0.040
```

Calculated values
DOS(E_F)   3.14 states/eV/cell

=====

Question: which arrangement is favored energetically? Ranking from most to least stable: <b>, <a>.

=====

<a>
Density functional theory data (PBEsol) for a geometry-optimized Ba2MoW structure.

```
Ba2MoW
1.0
-2.328 -0.450 2.381
-2.355 -0.620 -2.420
3.350 -9.412 -0.848
Ba Mo W
2 1 1
Cartesian
-1.754 -0.987 1.959
-0.405 -7.052 -0.234
1.367 -4.014 -0.301
-1.194 -3.587 -0.354
```

Calculated values
DOS(E_F)   5.63 states/eV/cell

=====

<b>
Density functional theory data (PBEsol) for a geometry-optimized Ba2MoW structure.

```
Ba2MoW
1.0
5.443 0.000 0.000
2.721 4.713 0.000
2.721 1.571 4.444
Mo Ba W
1 2 1
Cartesian
0.000 0.000 0.000
2.721 1.571 1.111
8.164 4.713 3.333
5.443 3.142 2.222
```

Calculated values
DOS(E_F)   7.27 states/eV/cell

=====

Question: which arrangement is favored energetically? Ranking from most to least stable: <a>, <b>.